Entry 1:
A plane-wave DFT calculation with GGA-PBE was carried out for crystalline BaIn2Co at its relaxed geometry.

## Properties
DOS(E_F) (states/eV/cell): 5.5
Volume (Å³ per cell): 109.59
M_tot (μB per formula unit): 1.26
Uncorrected energy (eV per cell): -13.20

a b c (Å): 4.550 4.550 5.293
angles (deg): 90.00 90.00 90.00
Space group P4/mmm (No. 123)
Symmetry-distinct sites (fractional):
Ba1 0.000 0.000 0.000 x1
In1 0.000 0.500 0.500 x2
Co1 0.500 0.500 0.000 x1

Entry 2:
A plane-wave DFT calculation with GGA-PBE was carried out for crystalline Ag2MoOs at its relaxed geometry.

## Properties
DOS(E_F) (states/eV/cell): 7.6
Distance to the lowest polymorph of the same formula (eV/atom): 0.436
Volume (Å³ per cell): 131.12
M_tot (μB per formula unit): 0.00

a b c (Å): 2.862 4.590 9.982
angles (deg): 90.00 90.00 90.00
Space group Cmmm (No. 65)
Symmetry-distinct sites (fractional):
Ag1 0.000 0.000 0.249 x4
Mo1 0.000 0.500 0.500 x2
Os1 0.000 0.500 0.000 x2

Entry 3:
A plane-wave DFT calculation with GGA-PBE was carried out for crystalline TeP2Cl at its relaxed geometry.

## Properties
DOS(E_F) (states/eV/cell): 6.9
Distance to the lowest polymorph of the same formula (eV/atom): 0.212
Volume (Å³ per cell): 256.34
M_tot (μB per formula unit): 0.00

a b c (Å): 3.4134 3.4134 25.4043
angles (deg): 90.00 90.00 120.00
Space group R3m (No. 160, hexagonal axes)
Symmetry-distinct sites (fractional):
Te1 0.0000 0.0000 0.0000 x3
P1 0.0000 0.0000 0.4709 x3
P2 0.0000 0.0000 0.7566 x3
Cl1 0.0000 0.0000 0.2118 x3

Entry 4:
A plane-wave DFT calculation with GGA-PBE was carried out for crystalline AgIrOs2 at its relaxed geometry.

## Properties
DOS(E_F) (states/eV/cell): 6.9
Distance to the lowest polymorph of the same formula (eV/atom): 0.340
Volume (Å³ per cell): 126.66
M_tot (μB per formula unit): 0.00

a b c (Å): 2.728 4.653 9.980
angles (deg): 90.00 90.00 90.00
Space group Imm2 (No. 44)
Symmetry-distinct sites (fractional):
Ag1 0.000 0.000 0.000 x2
Ir1 0.000 0.500 0.786 x2
Os1 0.000 0.000 0.518 x2
Os2 0.000 0.500 0.231 x2

Entry 5:
A plane-wave DFT calculation with GGA-PBE was carried out for crystalline BaAlHg at its relaxed geometry.

## Properties
DOS(E_F) (states/eV/cell): 10.8
Distance to the lowest polymorph of the same formula (eV/atom): 0.000
Volume (Å³ per cell): 387.68
M_tot (μB per formula unit): 0.00

a b c (Å): 10.517 8.579 4.834
angles (deg): 90.00 117.26 90.00
Space group C2/m (No. 12)
Symmetry-distinct sites (fractional):
Ba1 0.232 0.000 0.232 x4
Al1 0.000 0.349 0.000 x4
Hg1 0.000 0.190 0.500 x4

Entry 6:
A plane-wave DFT calculation with GGA-PBE was carried out for crystalline Nd7Ho2Sc2 at its relaxed geometry.

## Properties
DOS(E_F) (states/eV/cell): 30.0
Distance to the lowest polymorph of the same formula (eV/atom): 0.000
Volume (Å³ per cell): 723.15
M_tot (μB per formula unit): 0.00

a b c (Å): 10.984 11.561 6.113
angles (deg): 90.00 111.33 90.00
Space group C2/m (No. 12)
Symmetry-distinct sites (fractional):
Nd1 0.000 0.000 0.000 x2
Nd2 0.077 0.500 0.795 x4
Nd3 0.181 0.238 0.192 x8
Ho1 0.212 0.000 0.583 x4
Sc1 0.000 0.223 0.500 x4

Entry 7:
A plane-wave DFT calculation with GGA-PBE was carried out for crystalline SrLiMg2 at its relaxed geometry.

## Properties
DOS(E_F) (states/eV/cell): 8.4
Distance to the lowest polymorph of the same formula (eV/atom): 0.243
Volume (Å³ per cell): 509.09
M_tot (μB per formula unit): 0.00

a b c (Å): 4.698 4.698 23.070
angles (deg): 90.00 90.00 90.00
Space group I-42d (No. 122)
Symmetry-distinct sites (fractional):
Sr1 0.000 0.000 0.000 x4
Li1 0.000 0.000 0.500 x4
Mg1 0.201 0.250 0.625 x8

Entry 8:
A plane-wave DFT calculation with GGA-PBE was carried out for crystalline Y2ScTc at its relaxed geometry.

## Properties
DOS(E_F) (states/eV/cell): 14.6
Distance to the lowest polymorph of the same formula (eV/atom): 0.000
Volume (Å³ per cell): 405.60
M_tot (μB per formula unit): 0.00

a b c (Å): 7.196 9.091 6.200
angles (deg): 90.00 90.00 90.00
Space group Pnma (No. 62)
Symmetry-distinct sites (fractional):
Y1 0.179 0.063 0.164 x8
Sc1 0.049 0.250 0.637 x4
Tc1 0.118 0.750 0.984 x4